The following is a GGA-PBEsol calculation of an optimized crystal structure of Ba3LuIr2O9, from Alexandria via LeMat-Bulk.

CIF file:
```
data_Ba3LuIr2O9
_chemical_formula_sum 'Ba6 Lu2 Ir4 O18'
_cell_length_a 5.821
_cell_length_b 5.821
_cell_length_c 14.392
_cell_angle_alpha 90.00
_cell_angle_beta 90.00
_cell_angle_gamma 120.00
_symmetry_space_group_name_H-M 'P 1'
_symmetry_Int_Tables_number 1
loop_
_symmetry_equiv_pos_as_xyz
'x,y,z'
loop_
_atom_site_label
_atom_site_fract_x
_atom_site_fract_y
_atom_site_fract_z
O1 0.348 0.174 0.585
Ir1 0.333 0.667 0.163
O2 0.492 0.508 0.250
Ba1 0.333 0.667 0.910
O3 0.652 0.826 0.085
O4 0.174 0.826 0.085
Ba2 0.333 0.667 0.590
O5 0.174 0.826 0.415
O6 0.015 0.508 0.250
O7 0.174 0.348 0.415
Lu1 0.000 0.000 0.500
O8 0.508 0.492 0.750
O9 0.826 0.652 0.585
O10 0.985 0.492 0.750
O11 0.652 0.826 0.415
O12 0.174 0.348 0.085
Ir2 0.667 0.333 0.837
Ba3 0.000 0.000 0.750
Ba4 0.667 0.333 0.090
O13 0.826 0.652 0.915
Ba5 0.667 0.333 0.410
Ba6 0.000 0.000 0.250
O14 0.348 0.174 0.915
Ir3 0.667 0.333 0.663
Ir4 0.333 0.667 0.337
O15 0.826 0.174 0.915
O16 0.826 0.174 0.585
O17 0.508 0.015 0.750
Lu2 0.000 0.000 0.000
O18 0.492 0.985 0.250
```

* crystal system: hexagonal
* ΔE_f (raw): -2192 meV per atom

***

The following is a GGA-PBEsol calculation of an optimized crystal structure of K2Ag2Hg, from Alexandria via LeMat-Bulk.

CIF file:
```
data_K2Ag2Hg
_chemical_formula_sum 'K4 Ag4 Hg2'
_cell_length_a 5.167
_cell_length_b 7.379
_cell_length_c 7.379
_cell_angle_alpha 90.00
_cell_angle_beta 90.00
_cell_angle_gamma 90.00
_symmetry_space_group_name_H-M 'P 1'
_symmetry_Int_Tables_number 1
loop_
_symmetry_equiv_pos_as_xyz
'x,y,z'
loop_
_atom_site_label
_atom_site_fract_x
_atom_site_fract_y
_atom_site_fract_z
K1 0.500 0.178 0.678
K2 0.500 0.322 0.178
Hg1 0.000 0.000 0.000
K3 0.500 0.678 0.822
K4 0.500 0.822 0.322
Ag1 0.000 0.131 0.369
Ag2 0.000 0.869 0.631
Ag3 0.000 0.369 0.869
Hg2 0.000 0.500 0.500
Ag4 0.000 0.631 0.131
```

* crystal system: tetragonal
* energy above the most stable polymorph in this dataset: 0.00 kcal/mol of atoms
* calculated formation energy: 0.041 eV per atom

***

The following is a GGA-PBEsol calculation of an optimized crystal structure of BeFeRu2, from Alexandria via LeMat-Bulk.

CIF file:
```
data_BeFeRu2
_chemical_formula_sum 'Be1 Fe1 Ru2'
_cell_length_a 2.827
_cell_length_b 3.968
_cell_length_c 4.692
_cell_angle_alpha 115.01
_cell_angle_beta 107.53
_cell_angle_gamma 90.00
_symmetry_space_group_name_H-M 'P 1'
_symmetry_Int_Tables_number 1
loop_
_symmetry_equiv_pos_as_xyz
'x,y,z'
loop_
_atom_site_label
_atom_site_fract_x
_atom_site_fract_y
_atom_site_fract_z
Be1 0.492 0.492 0.985
Ru1 0.234 0.734 0.469
Ru2 0.004 0.004 0.009
Fe1 0.769 0.269 0.538
```

* crystal system: orthorhombic
* calculated formation energy: -0.048 eV per atom

***

The following is a GGA-PBEsol calculation of an optimized crystal structure of RbTe2SN, from Alexandria via LeMat-Bulk.

CIF file:
```
data_RbTe2SN
_chemical_formula_sum 'Rb1 Te2 S1 N1'
_cell_length_a 3.226
_cell_length_b 6.480
_cell_length_c 6.480
_cell_angle_alpha 90.00
_cell_angle_beta 90.00
_cell_angle_gamma 90.00
_symmetry_space_group_name_H-M 'P 1'
_symmetry_Int_Tables_number 1
loop_
_symmetry_equiv_pos_as_xyz
'x,y,z'
loop_
_atom_site_label
_atom_site_fract_x
_atom_site_fract_y
_atom_site_fract_z
Te1 0.000 0.500 0.000
Rb1 0.500 0.500 0.500
N1 0.500 0.000 0.000
S1 0.000 0.000 0.000
Te2 0.000 0.000 0.500
```

* crystal system: tetragonal
* ΔE_f (raw): 311 meV per atom

***

The following is a GGA-PBEsol calculation of an optimized crystal structure of SrMg2O, from Alexandria via LeMat-Bulk.

CIF file:
```
data_SrMg2O
_chemical_formula_sum 'Sr2 Mg4 O2'
_cell_length_a 6.548
_cell_length_b 6.548
_cell_length_c 6.548
_cell_angle_alpha 60.00
_cell_angle_beta 60.00
_cell_angle_gamma 60.00
_symmetry_space_group_name_H-M 'P 1'
_symmetry_Int_Tables_number 1
loop_
_symmetry_equiv_pos_as_xyz
'x,y,z'
loop_
_atom_site_label
_atom_site_fract_x
_atom_site_fract_y
_atom_site_fract_z
Sr1 0.500 0.500 0.500
O1 0.250 0.250 0.250
Mg1 0.125 0.125 0.125
Mg2 0.125 0.625 0.125
Mg3 0.625 0.125 0.125
Mg4 0.125 0.125 0.625
O2 0.000 0.000 0.000
Sr2 0.750 0.750 0.750
```

* crystal system: cubic
* ΔE_f (raw): -997 meV per atom

***

The following is a GGA-PBEsol calculation of an optimized crystal structure of K2RhBr, from Alexandria via LeMat-Bulk.

CIF file:
```
data_K2RhBr
_chemical_formula_sum 'K2 Rh1 Br1'
_cell_length_a 3.498
_cell_length_b 5.495
_cell_length_c 6.242
_cell_angle_alpha 101.59
_cell_angle_beta 106.27
_cell_angle_gamma 90.00
_symmetry_space_group_name_H-M 'P 1'
_symmetry_Int_Tables_number 1
loop_
_symmetry_equiv_pos_as_xyz
'x,y,z'
loop_
_atom_site_label
_atom_site_fract_x
_atom_site_fract_y
_atom_site_fract_z
Rh1 0.541 0.451 0.082
Br1 0.709 0.804 0.418
K1 0.260 0.339 0.520
K2 0.990 0.906 0.980
```

* crystal system: monoclinic
* energy above the most stable polymorph in this dataset: 0.00 kcal/mol of atoms
* ΔE_f (raw): -16 meV per atom

***

The following is a GGA-PBEsol calculation of an optimized crystal structure of Pr2Te3, from Alexandria via LeMat-Bulk.

CIF file:
```
data_Pr2Te3
_chemical_formula_sum 'Pr16 Te24'
_cell_length_a 9.414
_cell_length_b 9.414
_cell_length_c 15.671
_cell_angle_alpha 107.48
_cell_angle_beta 107.48
_cell_angle_gamma 90.00
_symmetry_space_group_name_H-M 'P 1'
_symmetry_Int_Tables_number 1
loop_
_symmetry_equiv_pos_as_xyz
'x,y,z'
loop_
_atom_site_label
_atom_site_fract_x
_atom_site_fract_y
_atom_site_fract_z
Te1 0.324 0.572 0.297
Te2 0.491 0.739 0.136
Te3 0.973 0.725 0.297
Pr1 0.668 0.668 0.335
Pr2 0.919 0.546 0.581
Te4 0.261 0.355 0.864
Pr3 0.286 0.412 0.081
Te5 0.940 0.846 0.530
Pr4 0.662 0.036 0.581
Te6 0.315 0.060 0.470
Te7 0.428 0.027 0.703
Te8 0.590 0.685 0.530
Te9 0.310 0.065 0.970
Te10 0.605 0.011 0.364
Pr5 0.964 0.081 0.419
Te11 0.154 0.410 0.470
Te12 0.926 0.025 0.203
Pr6 0.918 0.418 0.835
Te13 0.277 0.178 0.203
Te14 0.647 0.395 0.636
Pr7 0.332 0.332 0.665
Te15 0.935 0.340 0.030
Pr8 0.588 0.204 0.919
Pr9 0.005 0.375 0.250
Pr10 0.625 0.755 0.750
Te16 0.822 0.074 0.797
Pr11 0.582 0.082 0.165
Te17 0.989 0.241 0.636
Pr12 0.331 0.714 0.919
Pr13 0.454 0.338 0.419
Pr14 0.796 0.669 0.081
Te18 0.096 0.690 0.030
Pr15 0.125 0.995 0.750
Te19 0.660 0.904 0.970
Te20 0.275 0.676 0.703
Te21 0.603 0.509 0.864
Te22 0.645 0.397 0.136
Te23 0.759 0.353 0.364
Te24 0.975 0.723 0.797
Pr16 0.245 0.875 0.250
```

* crystal system: tetragonal
* ΔE_f (raw): -1477 meV per atom

***

The following is a GGA-PBEsol calculation of an optimized crystal structure of CrHg3Cl, from Alexandria via LeMat-Bulk.

CIF file:
```
data_CrHg3Cl
_chemical_formula_sum 'Cr1 Hg3 Cl1'
_cell_length_a 5.396
_cell_length_b 5.396
_cell_length_c 5.396
_cell_angle_alpha 90.00
_cell_angle_beta 90.00
_cell_angle_gamma 90.00
_symmetry_space_group_name_H-M 'P 1'
_symmetry_Int_Tables_number 1
loop_
_symmetry_equiv_pos_as_xyz
'x,y,z'
loop_
_atom_site_label
_atom_site_fract_x
_atom_site_fract_y
_atom_site_fract_z
Hg1 0.500 0.000 0.000
Hg2 0.000 0.000 0.500
Cl1 0.000 0.000 0.000
Cr1 0.500 0.500 0.500
Hg3 0.000 0.500 0.000
```

* crystal system: cubic
* ΔE_f (raw): 944 meV per atom

***

The following is a GGA-PBEsol calculation of an optimized crystal structure of KDyH2S2O9, from Alexandria via LeMat-Bulk.

CIF file:
```
data_KDyH2S2O9
_chemical_formula_sum 'K4 Dy4 H8 S8 O36'
_cell_length_a 8.048
_cell_length_b 10.099
_cell_length_c 10.334
_cell_angle_alpha 118.94
_cell_angle_beta 90.00
_cell_angle_gamma 90.00
_symmetry_space_group_name_H-M 'P 1'
_symmetry_Int_Tables_number 1
loop_
_symmetry_equiv_pos_as_xyz
'x,y,z'
loop_
_atom_site_label
_atom_site_fract_x
_atom_site_fract_y
_atom_site_fract_z
H1 0.062 0.785 0.339
O1 0.420 0.267 0.924
H2 0.500 0.339 0.000
O2 0.996 0.030 0.191
O3 0.121 0.469 0.086
O4 0.800 0.939 0.544
S1 0.789 0.399 0.907
O5 0.266 0.978 0.916
O6 0.566 0.718 0.614
Dy1 0.645 0.288 0.541
H3 0.562 0.715 0.161
O7 0.700 0.439 0.044
O8 0.434 0.282 0.386
S2 0.635 0.629 0.681
O9 0.920 0.233 0.576
O10 0.203 0.763 0.673
K1 0.163 0.484 0.687
Dy2 0.355 0.712 0.459
O11 0.879 0.531 0.914
O12 0.830 0.843 0.281
O13 0.330 0.657 0.219
O14 0.734 0.022 0.084
H4 0.000 0.161 0.500
O15 0.797 0.237 0.327
S3 0.711 0.899 0.407
O16 0.234 0.478 0.416
O17 0.496 0.470 0.309
O18 0.066 0.782 0.886
O19 0.621 0.031 0.414
O20 0.703 0.737 0.827
Dy3 0.145 0.212 0.959
Dy4 0.855 0.788 0.041
O21 0.580 0.733 0.076
O22 0.170 0.157 0.719
K2 0.663 0.016 0.813
O23 0.200 0.061 0.456
S4 0.211 0.601 0.093
O24 0.934 0.218 0.114
O25 0.300 0.561 0.956
H5 0.438 0.285 0.839
S5 0.365 0.371 0.319
H6 0.938 0.215 0.661
O26 0.592 0.773 0.369
H7 0.500 0.661 0.000
O27 0.297 0.263 0.173
O28 0.908 0.273 0.869
H8 0.000 0.839 0.500
O29 0.379 0.969 0.586
K3 0.837 0.516 0.313
O30 0.670 0.343 0.781
S6 0.865 0.129 0.181
O31 0.080 0.767 0.424
K4 0.337 0.984 0.187
O32 0.408 0.227 0.631
O33 0.504 0.530 0.691
S7 0.135 0.871 0.819
O34 0.004 0.970 0.809
O35 0.092 0.727 0.131
O36 0.766 0.522 0.584
S8 0.289 0.101 0.593
```

* crystal system: monoclinic
* final energy: -6.511 eV/atom

***

The following is a GGA-PBEsol calculation of an optimized crystal structure of ZnFe2Au, from Alexandria via LeMat-Bulk.

CIF file:
```
data_ZnFe2Au
_chemical_formula_sum 'Zn1 Fe2 Au1'
_cell_length_a 2.679
_cell_length_b 2.679
_cell_length_c 8.767
_cell_angle_alpha 81.21
_cell_angle_beta 81.21
_cell_angle_gamma 60.00
_symmetry_space_group_name_H-M 'P 1'
_symmetry_Int_Tables_number 1
loop_
_symmetry_equiv_pos_as_xyz
'x,y,z'
loop_
_atom_site_label
_atom_site_fract_x
_atom_site_fract_y
_atom_site_fract_z
Fe1 0.246 0.246 0.261
Au1 0.000 0.000 0.000
Fe2 0.754 0.754 0.739
Zn1 0.500 0.500 0.500
```

* crystal system: trigonal
* calculated formation energy: 0.216 eV per atom

***

The following is a GGA-PBEsol calculation of an optimized crystal structure of MnZn3Pb, from Alexandria via LeMat-Bulk.

CIF file:
```
data_MnZn3Pb
_chemical_formula_sum 'Mn1 Zn3 Pb1'
_cell_length_a 4.691
_cell_length_b 4.691
_cell_length_c 4.691
_cell_angle_alpha 90.00
_cell_angle_beta 90.00
_cell_angle_gamma 90.00
_symmetry_space_group_name_H-M 'P 1'
_symmetry_Int_Tables_number 1
loop_
_symmetry_equiv_pos_as_xyz
'x,y,z'
loop_
_atom_site_label
_atom_site_fract_x
_atom_site_fract_y
_atom_site_fract_z
Zn1 0.500 0.000 0.000
Zn2 0.000 0.000 0.500
Pb1 0.500 0.500 0.500
Mn1 0.000 0.000 0.000
Zn3 0.000 0.500 0.000
```

* crystal system: cubic
* energy above the most stable polymorph in this dataset: 0.00 kcal/mol of atoms
* calculated formation energy: 0.593 eV per atom

***

The following is a GGA-PBEsol calculation of an optimized crystal structure of Sc2MnHg, from Alexandria via LeMat-Bulk.

CIF file:
```
data_Sc2MnHg
_chemical_formula_sum 'Sc2 Mn1 Hg1'
_cell_length_a 3.378
_cell_length_b 4.743
_cell_length_c 4.743
_cell_angle_alpha 90.00
_cell_angle_beta 90.00
_cell_angle_gamma 90.00
_symmetry_space_group_name_H-M 'P 1'
_symmetry_Int_Tables_number 1
loop_
_symmetry_equiv_pos_as_xyz
'x,y,z'
loop_
_atom_site_label
_atom_site_fract_x
_atom_site_fract_y
_atom_site_fract_z
Sc1 0.000 0.000 0.500
Mn1 0.500 0.000 0.000
Hg1 0.500 0.500 0.500
Sc2 0.000 0.500 0.000
```

* crystal system: tetragonal
* calculated formation energy: -0.116 eV per atom

***

Let's list spin magnetization in order: 0.000; 0.000; 0.429; 0.000; 0.000; 0.240; 0.000; 1.034; 0.000; 1.260; 0.533; 0.646 μB per atom.